No. 1
DFT (GGA-PBE) results for a geometry-optimized Ac2Sb4RhAu3 structure.

Values from the calculation:
The calculation puts the energy relative to the elements, uncorrected at -0.61 eV/atom.

Cell lengths 4.8412, 4.8412, 10.9750 Å; angles 90.00, 90.00, 90.00 degrees
Fractional coordinates of all 10 atoms:
1 Ac 0.0000 0.5000 0.2303
2 Ac 0.5000 0.0000 0.7697
3 Sb 0.0000 0.0000 0.5000
4 Sb 0.0000 0.5000 0.8830
5 Sb 0.5000 0.0000 0.1170
6 Sb 0.5000 0.5000 0.5000
7 Rh 0.5000 0.5000 0.0000
8 Au 0.0000 0.0000 0.0000
9 Au 0.0000 0.5000 0.6390
10 Au 0.5000 0.0000 0.3610

No. 2
DFT (GGA-PBE) results for a geometry-optimized RbBeCd3 structure.

Values from the calculation:
The formation energy is 1131 meV/atom. The energy above the most stable polymorph in this dataset comes out at 0.963 eV per atom.

Cell lengths 6.9927, 6.9927, 6.9927 Å; angles 90.00, 90.00, 90.00 degrees
Fractional coordinates of all 5 atoms:
1 Rb 0.0000 0.0000 0.0000
2 Be 0.5000 0.5000 0.5000
3 Cd 0.0000 0.0000 0.5000
4 Cd 0.0000 0.5000 0.0000
5 Cd 0.5000 0.0000 0.0000

No. 3
DFT (GGA-PBE) results for a geometry-optimized Fe2PAu structure.

Values from the calculation:
The formation energy is 84 meV/atom.

Cell lengths 2.7759, 2.7759, 23.6175 Å; angles 90.00, 90.00, 120.00 degrees
Fractional coordinates of all 12 atoms:
1 Fe 0.0000 0.0000 0.2373
2 Fe 0.0000 0.0000 0.7627
3 Fe 0.3333 0.6667 0.4294
4 Fe 0.3333 0.6667 0.9039
5 Fe 0.6667 0.3333 0.0961
6 Fe 0.6667 0.3333 0.5706
7 P 0.0000 0.0000 0.5000
8 P 0.3333 0.6667 0.1667
9 P 0.6667 0.3333 0.8333
10 Au 0.0000 0.0000 0.0000
11 Au 0.3333 0.6667 0.6667
12 Au 0.6667 0.3333 0.3333

No. 4
DFT (GGA-PBE) results for a geometry-optimized CoW2Au structure.

Values from the calculation:
The formation energy is 711 meV/atom. The energy above the most stable polymorph in this dataset comes out at 0.467 eV per atom.

Cell lengths 7.0763, 7.0763, 5.1619 Å; angles 90.00, 90.00, 90.00 degrees
Fractional coordinates of all 16 atoms:
1 Co 0.0000 0.0000 0.0000
2 Co 0.0000 0.5000 0.2500
3 Co 0.5000 0.0000 0.7500
4 Co 0.5000 0.5000 0.5000
5 W 0.2015 0.2500 0.1250
6 W 0.2500 0.7015 0.3750
7 W 0.2500 0.7985 0.8750
8 W 0.2985 0.2500 0.6250
9 W 0.7015 0.7500 0.6250
10 W 0.7500 0.2015 0.8750
11 W 0.7500 0.2985 0.3750
12 W 0.7985 0.7500 0.1250
13 Au 0.0000 0.0000 0.5000
14 Au 0.0000 0.5000 0.7500
15 Au 0.5000 0.0000 0.2500
16 Au 0.5000 0.5000 0.0000

No. 5
DFT (GGA-PBE) results for a geometry-optimized ZnCu14As structure.

Values from the calculation:
The formation energy is 17 meV/atom.

Cell lengths 8.3833, 5.2195, 5.2195 Å; angles 60.55, 90.00, 90.00 degrees
Fractional coordinates of all 16 atoms:
1 Zn 0.0000 0.0000 0.0000
2 Cu 0.0000 0.9997 0.5010
3 Cu 0.0000 0.5010 0.9997
4 Cu 0.2541 0.3320 0.3320
5 Cu 0.2546 0.8333 0.8333
6 Cu 0.2556 0.3324 0.8385
7 Cu 0.2556 0.8385 0.3324
8 Cu 0.5000 0.1664 0.6656
9 Cu 0.5000 0.1665 0.1665
10 Cu 0.5000 0.6656 0.1664
11 Cu 0.5000 0.6656 0.6656
12 Cu 0.7444 0.3324 0.8385
13 Cu 0.7444 0.8385 0.3324
14 Cu 0.7454 0.8333 0.8333
15 Cu 0.7459 0.3320 0.3320
16 As 0.0000 0.5009 0.5009

No. 6
DFT (GGA-PBE) results for a geometry-optimized NaTl2HgI6 structure.

Values from the calculation:
The calculation puts the energy relative to the elements, uncorrected at -0.52 eV/atom.

Cell lengths 7.8765, 8.2666, 8.6025 Å; angles 65.18, 62.84, 72.20 degrees
Fractional coordinates of all 10 atoms:
1 Na 0.0000 0.0000 0.0000
2 Tl 0.2682 0.3850 0.1487
3 Tl 0.7024 0.9060 0.6908
4 Hg 0.4216 0.5574 0.5019
5 I 0.1184 0.6929 0.7948
6 I 0.3111 0.2289 0.5754
7 I 0.3474 0.7443 0.1422
8 I 0.6391 0.2066 0.8971
9 I 0.7614 0.6804 0.3948
10 I 0.9281 0.1908 0.2740

no.,total magnetic moment (μB/f.u.)
1,0.00
2,0.00
3,3.11
4,0.00
5,0.00
6,0.00